Record 1
Density functional theory data (GGA-PBE) for crystalline Sm12Tl6Pt at its relaxed geometry.

The structure belongs to space group R-3 (No. 148, hexagonal axes); the cell edges are 12.3664, 12.3664 and 13.7808 Å and the angles 90.00°, 90.00° and 120.00°. The inequivalent atoms are Sm at (0.0319, 0.1903, 0.3697), Sm at (0.0374, 0.8457, 0.8933), Tl at (0.0055, 0.6062, 0.7641) and Pt at (0.0000, 0.0000, 0.5000).

The formation energy comes out at -0.242 eV per atom. The total magnetization is 0.000 μB/atom.

***

Record 2
Density functional theory data (GGA-PBE) for crystalline YAlCdBi2 at its relaxed geometry.

The structure belongs to space group P4/mmm (No. 123); the cell edges are 5.421, 5.421 and 5.606 Å and the angles 90.00°, 90.00° and 90.00°. The inequivalent atoms are Y at (0.000, 0.000, 0.000), Al at (0.000, 0.000, 0.500), Cd at (0.500, 0.500, 0.000) and Bi at (0.000, 0.500, 0.500).

The formation energy comes out at 0.277 eV per atom. The total magnetization is 0.000 μB/atom.

***

Record 3
Density functional theory data (GGA-PBE) for crystalline TbCe3Nd4Se8 at its relaxed geometry.

The structure belongs to space group R-3m (No. 166, hexagonal axes); the cell edges are 8.4059, 8.4059 and 20.5983 Å and the angles 90.00°, 90.00° and 120.00°. The inequivalent atoms are Tb at (0.0000, 0.0000, 0.0000), Ce at (0.0000, 0.5000, 0.0000), Nd at (0.0000, 0.0000, 0.5000), Nd at (0.0000, 0.5000, 0.5000), Se at (0.0000, 0.0000, 0.2508) and Se at (0.0043, 0.5021, 0.7480).

The total magnetization is 0.173 μB/atom. The value obtained for the raw formation energy is -1.829 eV per atom.

***

Record 4
Density functional theory data (GGA-PBE) for crystalline SrLiLa14 at its relaxed geometry.

The structure belongs to space group P4/mmm (No. 123); the cell edges are 7.463, 7.463 and 10.515 Å and the angles 90.00°, 90.00° and 90.00°. The inequivalent atoms are Sr at (0.000, 0.000, 0.000), Li at (0.500, 0.500, 0.000), La at (0.000, 0.000, 0.500), La at (0.000, 0.500, 0.000), La at (0.000, 0.500, 0.500), La at (0.258, 0.258, 0.254) and La at (0.500, 0.500, 0.500).

The formation energy comes out at 0.068 eV per atom. The total magnetization is 0.000 μB/atom.

***

Record 5
Density functional theory data (GGA-PBE) for crystalline KCrAg4 at its relaxed geometry.

The structure belongs to space group F-43m (No. 216); the cell edges are 8.044, 8.044 and 8.044 Å and the angles 90.00°, 90.00° and 90.00°. The inequivalent atoms are K at (0.000, 0.000, 0.000), Cr at (0.250, 0.250, 0.250) and Ag at (0.124, 0.124, 0.624).

The formation energy comes out at 0.323 eV per atom. The total magnetization is 0.816 μB/atom.

***

Record 6
Density functional theory data (GGA-PBE) for crystalline Cs2Hg4BiAu3 at its relaxed geometry.

The structure belongs to space group P-4m2 (No. 115); the cell edges are 4.979, 4.979 and 12.487 Å and the angles 90.00°, 90.00° and 90.00°. The inequivalent atoms are Cs at (0.000, 0.500, 0.240), Hg at (0.000, 0.000, 0.000), Hg at (0.000, 0.500, 0.642), Hg at (0.500, 0.500, 0.000), Bi at (0.000, 0.000, 0.500), Au at (0.000, 0.500, 0.869) and Au at (0.500, 0.500, 0.500).

The formation energy comes out at -0.169 eV per atom. The total magnetization is 0.000 μB/atom.